Arrangement 1

Below is an optimized crystal structure of Ti4GeP, with properties calculated at the GGA-PBE level.

The magnetization comes out at 0.00 μB/atom. Its calculated volume is 15.48 Å³/atom. The density of states at the Fermi level comes out at 3.35 states/eV/f.u.

It has space group P4/mcc (No. 124), with a = 6.073 Å, b = 6.073 Å, c = 5.038 Å, α = 90.00°, β = 90.00° and γ = 90.00°. The asymmetric unit holds Ti at (0.148, 0.338, 0.000), Ge at (0.500, 0.500, 0.250) and P at (0.000, 0.000, 0.250).

=====

Arrangement 2

Below is an optimized crystal structure of Ti4GeP, with properties calculated at the GGA-PBE level.

The magnetization comes out at 0.07 μB/atom. Its calculated volume is 17.59 Å³/atom. The density of states at the Fermi level comes out at 4.73 states/eV/f.u.

It has space group P2_1/c (No. 14), with a = 5.826 Å, b = 6.024 Å, c = 6.022 Å, α = 90.00°, β = 92.88° and γ = 90.00°. The asymmetric unit holds Ti at (0.130, 0.151, 0.160), Ti at (0.359, 0.636, 0.124), Ge at (0.500, 0.000, 0.000) and P at (0.000, 0.000, 0.500).

=====

Here is how they stack up, most stable first: arrangement 1, arrangement 2.

=====

Arrangement 1

Below is an optimized crystal structure of Ti3GeP, with properties calculated at the GGA-PBE level.

The magnetization comes out at 0.00 μB/atom. Its calculated volume is 18.27 Å³/atom. The density of states at the Fermi level comes out at 4.38 states/eV/f.u.

It has space group C2/m (No. 12), with a = 12.295 Å, b = 4.389 Å, c = 6.817 Å, α = 90.00°, β = 96.60° and γ = 90.00°. The asymmetric unit holds Ti at (0.041, 0.000, 0.288), Ti at (0.167, 0.000, 0.976), Ti at (0.222, 0.500, 0.636), Ge at (0.139, 0.500, 0.180) and P at (0.141, 0.000, 0.613).

=====

Arrangement 2

Below is an optimized crystal structure of Ti3GeP, with properties calculated at the GGA-PBE level.

The magnetization comes out at 0.00 μB/atom. Its calculated volume is 18.46 Å³/atom. The density of states at the Fermi level comes out at 14.67 states/eV/f.u.

It has space group Pm-3m (No. 221), with a = 4.519 Å, b = 4.519 Å, c = 4.519 Å, α = 90.00°, β = 90.00° and γ = 90.00°. The asymmetric unit holds Ti at (0.000, 0.000, 0.500), Ge at (0.500, 0.500, 0.500) and P at (0.000, 0.000, 0.000).

=====

Here is how they stack up, most stable first: arrangement 1, arrangement 2.

=====

Arrangement 1

Below is an optimized crystal structure of TlGeP2, with properties calculated at the GGA-PBE level.

The magnetization comes out at 0.00 μB/atom. Its calculated volume is 20.18 Å³/atom. The density of states at the Fermi level comes out at 2.28 states/eV/f.u.

It has space group R-3m (No. 166, hexagonal axes), with a = 3.7727 Å, b = 3.7727 Å, c = 19.6447 Å, α = 90.00°, β = 90.00° and γ = 120.00°. The asymmetric unit holds Tl at (0.0000, 0.0000, 0.0000), Ge at (0.0000, 0.0000, 0.5000) and P at (0.0000, 0.0000, 0.2361).

=====

Arrangement 2

Below is an optimized crystal structure of TlGeP2, with properties calculated at the GGA-PBE level.

The magnetization comes out at 0.00 μB/atom. Its calculated volume is 25.27 Å³/atom. The density of states at the Fermi level comes out at 2.25 states/eV/f.u.

It has space group I-42d (No. 122), with a = 6.399 Å, b = 6.399 Å, c = 9.874 Å, α = 90.00°, β = 90.00° and γ = 90.00°. The asymmetric unit holds Tl at (0.000, 0.000, 0.000), Ge at (0.000, 0.000, 0.500) and P at (0.193, 0.250, 0.625).

=====

Arrangement 3

Below is an optimized crystal structure of TlGeP2, with properties calculated at the GGA-PBE level.

The magnetization comes out at 0.00 μB/atom. Its calculated volume is 19.89 Å³/atom. The density of states at the Fermi level comes out at 2.47 states/eV/f.u.

It has space group Fm-3m (No. 225), with a = 6.828 Å, b = 6.828 Å, c = 6.828 Å, α = 90.00°, β = 90.00° and γ = 90.00°. The asymmetric unit holds Tl at (0.000, 0.000, 0.000), Ge at (0.000, 0.000, 0.500) and P at (0.250, 0.250, 0.250).

=====

Here is how they stack up, most stable first: arrangement 2, arrangement 1, arrangement 3.

=====

Arrangement 1

Below is an optimized crystal structure of Tl2GeP, with properties calculated at the GGA-PBE level.

The magnetization comes out at 0.00 μB/atom. Its calculated volume is 30.47 Å³/atom. The density of states at the Fermi level comes out at 1.87 states/eV/f.u.

It has space group I-42d (No. 122), with a = 6.335 Å, b = 6.335 Å, c = 12.145 Å, α = 90.00°, β = 90.00° and γ = 90.00°. The asymmetric unit holds Tl at (0.238, 0.250, 0.125), Ge at (0.000, 0.000, 0.500) and P at (0.000, 0.000, 0.000).

=====

Arrangement 2

Below is an optimized crystal structure of Tl2GeP, with properties calculated at the GGA-PBE level.

The magnetization comes out at 0.00 μB/atom. Its calculated volume is 23.95 Å³/atom. The density of states at the Fermi level comes out at 2.70 states/eV/f.u.

It has space group Fm-3m (No. 225), with a = 7.263 Å, b = 7.263 Å, c = 7.263 Å, α = 90.00°, β = 90.00° and γ = 90.00°. The asymmetric unit holds Tl at (0.250, 0.250, 0.250), Ge at (0.000, 0.000, 0.000) and P at (0.000, 0.000, 0.500).

=====

Here is how they stack up, most stable first: arrangement 1, arrangement 2.

=====

Arrangement 1

Below is an optimized crystal structure of TlGe2P2, with properties calculated at the GGA-PBE level.

The magnetization comes out at 0.00 μB/atom. Its calculated volume is 23.98 Å³/atom. The density of states at the Fermi level comes out at 0.69 states/eV/f.u.

It has space group I4/mmm (No. 139), with a = 4.588 Å, b = 4.588 Å, c = 11.390 Å, α = 90.00°, β = 90.00° and γ = 90.00°. The asymmetric unit holds Tl at (0.000, 0.000, 0.000), Ge at (0.000, 0.500, 0.250) and P at (0.000, 0.000, 0.340).

=====

Arrangement 2

Below is an optimized crystal structure of TlGe2P2, with properties calculated at the GGA-PBE level.

The magnetization comes out at 0.00 μB/atom. Its calculated volume is 20.80 Å³/atom. The density of states at the Fermi level comes out at 1.88 states/eV/f.u.

It has space group I4/mmm (No. 139), with a = 4.798 Å, b = 4.798 Å, c = 9.036 Å, α = 90.00°, β = 90.00° and γ = 90.00°. The asymmetric unit holds Tl at (0.000, 0.000, 0.000), Ge at (0.000, 0.000, 0.351) and P at (0.000, 0.500, 0.250).

=====

Here is how they stack up, most stable first: arrangement 2, arrangement 1.

=====

Arrangement 1

Below is an optimized crystal structure of Tl2Ge2P, with properties calculated at the GGA-PBE level.

The magnetization comes out at 0.00 μB/atom. Its calculated volume is 26.19 Å³/atom. The density of states at the Fermi level comes out at 2.59 states/eV/f.u.

It has space group I4/mmm (No. 139), with a = 4.138 Å, b = 4.138 Å, c = 15.291 Å, α = 90.00°, β = 90.00° and γ = 90.00°. The asymmetric unit holds Tl at (0.000, 0.500, 0.250), Ge at (0.000, 0.000, 0.079) and P at (0.000, 0.000, 0.500).

=====

Arrangement 2

Below is an optimized crystal structure of Tl2Ge2P, with properties calculated at the GGA-PBE level.

The magnetization comes out at 0.00 μB/atom. Its calculated volume is 24.80 Å³/atom. The density of states at the Fermi level comes out at 3.49 states/eV/f.u.

It has space group P4/mbm (No. 127), with a = 6.644 Å, b = 6.644 Å, c = 5.619 Å, α = 90.00°, β = 90.00° and γ = 90.00°. The asymmetric unit holds Tl at (0.184, 0.316, 0.000), Ge at (0.142, 0.642, 0.500) and P at (0.000, 0.000, 0.500).

=====

Here is how they stack up, most stable first: arrangement 2, arrangement 1.

=====

Arrangement 1

Below is an optimized crystal structure of Tm2GeP, with properties calculated at the GGA-PBE level.

The magnetization comes out at 0.00 μB/atom. Its calculated volume is 22.85 Å³/atom. The density of states at the Fermi level comes out at 0.45 states/eV/f.u.

It has space group R-3m (No. 166, hexagonal axes), with a = 3.8774 Å, b = 3.8774 Å, c = 21.0600 Å, α = 90.00°, β = 90.00° and γ = 120.00°. The asymmetric unit holds Tm at (0.0000, 0.0000, 0.2432), Ge at (0.0000, 0.0000, 0.0000) and P at (0.0000, 0.0000, 0.5000).

=====

Arrangement 2

Below is an optimized crystal structure of Tm2GeP, with properties calculated at the GGA-PBE level.

The magnetization comes out at 0.00 μB/atom. Its calculated volume is 21.95 Å³/atom. The density of states at the Fermi level comes out at 1.34 states/eV/f.u.

It has space group Cmcm (No. 63), with a = 4.087 Å, b = 21.897 Å, c = 3.924 Å, α = 90.00°, β = 90.00° and γ = 90.00°. The asymmetric unit holds Tm at (0.000, 0.067, 0.250), Tm at (0.000, 0.313, 0.250), Ge at (0.000, 0.457, 0.250) and P at (0.000, 0.188, 0.250).

=====

Here is how they stack up, most stable first: arrangement 2, arrangement 1.

=====

Arrangement 1

Below is an optimized crystal structure of V4Ge2P, with properties calculated at the GGA-PBE level.

The magnetization comes out at 0.63 μB/atom. Its calculated volume is 16.69 Å³/atom. The density of states at the Fermi level comes out at 5.69 states/eV/f.u.

It has space group I4/mmm (No. 139), with a = 4.222 Å, b = 4.222 Å, c = 13.109 Å, α = 90.00°, β = 90.00° and γ = 90.00°. The asymmetric unit holds V at (0.000, 0.000, 0.174), V at (0.000, 0.500, 0.000), Ge at (0.000, 0.000, 0.365) and P at (0.000, 0.000, 0.000).

=====

Arrangement 2

Below is an optimized crystal structure of V4Ge2P, with properties calculated at the GGA-PBE level.

The magnetization comes out at 0.00 μB/atom. Its calculated volume is 13.64 Å³/atom. The density of states at the Fermi level comes out at 6.80 states/eV/f.u.

It has space group P-1 (No. 2), with a = 4.816 Å, b = 6.188 Å, c = 7.351 Å, α = 87.67°, β = 71.16° and γ = 67.70°. The asymmetric unit holds V at (0.164, 0.303, 0.371), V at (0.188, 0.758, 0.876), V at (0.248, 0.259, 0.760), V at (0.261, 0.741, 0.238), Ge at (0.252, 0.935, 0.557), Ge at (0.500, 0.000, 0.000), Ge at (0.500, 0.500, 0.500) and P at (0.253, 0.423, 0.059).

=====

Here is how they stack up, most stable first: arrangement 2, arrangement 1.